[1]
Density functional theory data (GGA-PBE) for an optimized crystal structure of Ba7Ca3.

Lattice parameters (Å, degrees): 6.7446 12.7467 12.7467 30.75 90.00 90.00
Element x y z (fractional)
Ba: 0.0000 0.0000 0.0000
Ba: 0.0000 0.1943 0.1943
Ba: 0.0000 0.3896 0.3896
Ba: 0.0000 0.6024 0.6024
Ba: 0.5000 0.2880 0.2880
Ba: 0.5000 0.5016 0.5016
Ba: 0.5000 0.8875 0.8875
Ca: 0.0000 0.7863 0.7863
Ca: 0.5000 0.1032 0.1032
Ca: 0.5000 0.6956 0.6956

Volume ... 560.28 Å³/f.u.
Space group ... No. 38

***

[2]
Density functional theory data (GGA-PBE) for an optimized crystal structure of K6RbCd2O.

Lattice parameters (Å, degrees): 14.3537 14.3537 14.3537 36.36 36.36 36.36
Element x y z (fractional)
K: 0.1606 0.1606 0.5993
K: 0.1606 0.5993 0.1606
K: 0.2618 0.6752 0.6752
K: 0.3248 0.3248 0.7382
K: 0.3248 0.7382 0.3248
K: 0.4007 0.8394 0.8394
K: 0.5993 0.1606 0.1606
K: 0.6752 0.2618 0.6752
K: 0.6752 0.6752 0.2618
K: 0.7382 0.3248 0.3248
K: 0.8394 0.4007 0.8394
K: 0.8394 0.8394 0.4007
Rb: 0.0676 0.0676 0.0676
Rb: 0.9324 0.9324 0.9324
Cd: 0.2184 0.2184 0.2184
Cd: 0.3801 0.3801 0.3801
Cd: 0.6199 0.6199 0.6199
Cd: 0.7816 0.7816 0.7816
O: 0.0000 0.0000 0.0000
O: 0.5000 0.5000 0.5000

Volume ... 465.18 Å³/f.u.
Raw formation energy ... -184.9 meV/atom
Space group ... No. 166

***

[3]
Density functional theory data (GGA-PBE) for an optimized crystal structure of Ca2CuIrO6.

Lattice parameters (Å, degrees): 5.4209 5.6881 9.3367 90.00 125.24 90.00
Element x y z (fractional)
Ca: 0.2328 0.0649 0.2488
Ca: 0.2328 0.4351 0.7488
Ca: 0.7672 0.5649 0.2512
Ca: 0.7672 0.9351 0.7512
Cu: 0.0000 0.0000 0.5000
Cu: 0.0000 0.5000 0.0000
Ir: 0.5000 0.0000 0.0000
Ir: 0.5000 0.5000 0.5000
O: 0.1557 0.1895 0.9507
O: 0.1557 0.3105 0.4507
O: 0.2619 0.7103 0.9458
O: 0.2619 0.7897 0.4458
O: 0.3546 0.0345 0.7534
O: 0.3546 0.4655 0.2534
O: 0.6454 0.5345 0.7466
O: 0.6454 0.9655 0.2466
O: 0.7381 0.2103 0.5542
O: 0.7381 0.2897 0.0542
O: 0.8443 0.6895 0.5493
O: 0.8443 0.8105 0.0493

Volume ... 117.56 Å³/f.u.
Raw formation energy ... -1602.0 meV/atom
Space group ... No. 14

***

[4]
Density functional theory data (GGA-PBE) for an optimized crystal structure of NaCdSnPb.

Lattice parameters (Å, degrees): 5.2729 5.2729 5.2729 113.38 113.38 101.91
Element x y z (fractional)
Na: 0.0000 0.0000 0.0000
Cd: 0.7500 0.2500 0.5000
Sn: 0.2500 0.7500 0.5000
Pb: 0.5000 0.5000 0.0000

Volume ... 111.41 Å³/f.u.
Space group ... No. 119

***

[5]
Density functional theory data (GGA-PBE) for an optimized crystal structure of NaSr2HAu.

Lattice parameters (Å, degrees): 5.2296 5.2296 4.5928 90.00 90.00 90.00
Element x y z (fractional)
Na: 0.0000 0.0000 0.0000
Sr: 0.0000 0.5000 0.5000
Sr: 0.5000 0.0000 0.5000
H: 0.0000 0.0000 0.5000
Au: 0.5000 0.5000 0.0000

Volume ... 125.60 Å³/f.u.
Space group ... No. 123

***

[6]
Density functional theory data (GGA-PBE) for an optimized crystal structure of Er2Si5Pd3.

Lattice parameters (Å, degrees): 8.1688 8.1688 8.1688 104.53 90.57 137.67
Element x y z (fractional)
Er: 0.1279 0.2317 0.3597
Er: 0.3721 0.7317 0.1038
Er: 0.6279 0.2683 0.8962
Er: 0.8721 0.7683 0.6403
Si: 0.0251 0.7500 0.2751
Si: 0.1145 0.6527 0.7672
Si: 0.2500 0.2500 0.0000
Si: 0.3855 0.1527 0.5382
Si: 0.4749 0.7500 0.7249
Si: 0.5251 0.2500 0.2751
Si: 0.6145 0.8473 0.4618
Si: 0.7500 0.7500 0.0000
Si: 0.8855 0.3473 0.2328
Si: 0.9749 0.2500 0.7249
Pd: 0.1389 0.8872 0.0261
Pd: 0.2500 0.7500 0.5000
Pd: 0.3611 0.3872 0.7483
Pd: 0.6389 0.6128 0.2517
Pd: 0.7500 0.2500 0.5000
Pd: 0.8611 0.1128 0.9739

Volume ... 169.51 Å³/f.u.
Raw formation energy ... -777.4 meV/atom
Space group ... No. 72

***

[7]
Density functional theory data (GGA-PBE) for an optimized crystal structure of VPdS3.

Lattice parameters (Å, degrees): 7.0867 7.0867 6.7523 95.69 95.69 29.22
Element x y z (fractional)
V: 0.2061 0.2061 0.2325
V: 0.7939 0.7939 0.7675
Pd: 0.4405 0.4405 0.3161
Pd: 0.5595 0.5595 0.6839
S: 0.0353 0.0353 0.2107
S: 0.1796 0.1796 0.5859
S: 0.3327 0.3327 0.9887
S: 0.6673 0.6673 0.0113
S: 0.8204 0.8204 0.4141
S: 0.9647 0.9647 0.7893

Volume ... 82.32 Å³/f.u.
Raw formation energy ... -417.3 meV/atom
Space group ... No. 12

***

| no. | DOS(E_F) (states/eV/cell) | energy (eV/atom) | size of the total moment (μB per cell) |
| --- | --- | --- | --- |
| 1 | 15.20 | -1.919 | 0.0 |
| 2 | 9.05 | -1.619 | 0.0 |
| 3 | 12.91 | -6.273 | 6.1 |
| 4 | 1.59 | -2.543 | 0.0 |
| 5 | 1.13 | -2.633 | 0.0 |
| 6 | 4.37 | -5.959 | 0.0 |
| 7 | 6.84 | -5.756 | 2.3 |